{"formula": "Pa3As2Se3", "functional": "PBE", "state": "optimized geometry", "formation_energy_uncorrected_ev_per_atom": -1.2295, "lattice_angstrom": [[-4.015, 3.912, 1.089], [-3.621, -5.326, 5.784], [6.121, 5.587, 2.499]], "species": ["Pa", "Pa", "Pa", "Pa", "Pa", "Pa", "Se", "Se", "Se", "Se", "Se", "Se", "As", "As", "As", "As"], "frac_coords": [[0.750, 0.382, 0.382], [0.250, 0.382, 0.000], [0.250, 0.000, 0.382], [0.750, 0.000, 0.618], [0.250, 0.618, 0.618], [0.750, 0.618, 0.000], [0.750, 0.000, 0.262], [0.750, 0.262, 0.000], [0.250, 0.738, 0.000], [0.250, 0.000, 0.738], [0.750, 0.738, 0.738], [0.250, 0.262, 0.262], [0.500, 0.333, 0.667], [0.000, 0.333, 0.667], [0.000, 0.667, 0.333], [0.500, 0.667, 0.333]]}